Computed, not measured: crystalline Pm3Th2TaN6 at its relaxed geometry at the PBE level of DFT.

ΔE_f (raw), eV/atom: -1.401
Space-group type: No. 12
VASP energy, eV per atom: -8.9753
V, Å³/f.u.: 187.6

Cell: 6.122 6.122 6.119 Å, 99.51 99.51 119.93°
Positions (direct):
Pm 0.000 0.000 0.000
Pm 0.337 0.663 0.000
Pm 0.663 0.337 0.000
Th 0.167 0.833 0.500
Th 0.833 0.167 0.500
Ta 0.500 0.500 0.500
N 0.125 0.428 0.285
N 0.271 0.271 0.726
N 0.428 0.125 0.285
N 0.572 0.875 0.715
N 0.729 0.729 0.274
N 0.875 0.572 0.715